NaCr2CoTe | PBE | optimized geometry

Summary:
For the total magnetization, the calculation gives 9.00 μB per cell. Its space group is P4/mmm (123). The calculation puts the uncorrected formation energy at 1.654 eV/atom. As for the crystal system: tetragonal. As for the total energy: -22.54 eV for the cell shown.

Cell: 4.898 4.489 4.898 Å, 90.00 90.00 90.00°
Atoms (fractional coordinates):
Cr: 0.000 0.000 0.500
Cr: 0.500 0.000 0.000
Na: 0.000 0.000 0.000
Co: 0.000 0.500 0.000
Te: 0.500 0.500 0.500

=====

NaTi2CrCo | PBE | optimized geometry

Summary:
For the total magnetization, the calculation gives 0.00 μB per cell. Its space group is P4/mmm (123). As for the crystal system: tetragonal. As for the total energy: -30.19 eV for the cell shown. For the formation energy, the calculation gives 729 meV per atom.

Cell: 4.574 4.319 4.574 Å, 90.00 90.00 90.00°
Atoms (fractional coordinates):
Na: 0.500 0.500 0.500
Cr: 0.000 0.000 0.000
Ti: 0.000 0.000 0.500
Ti: 0.500 0.000 0.000
Co: 0.000 0.500 0.000

=====

Na2VCrCo | PBE | optimized geometry

Summary:
For the total magnetization, the calculation gives 2.68 μB per cell. Its space group is P4/mmm (123). As for the crystal system: tetragonal. As for the total energy: -20.31 eV for the cell shown. For the formation energy, the calculation gives 1634 meV per atom.

Cell: 5.045 4.357 5.045 Å, 90.00 90.00 90.00°
Atoms (fractional coordinates):
Na: 0.000 0.000 0.500
Na: 0.500 0.000 0.000
Cr: 0.000 0.500 0.000
V: 0.500 0.500 0.500
Co: 0.000 0.000 0.000

=====

Na2YCrCo | PBE | optimized geometry

Summary:
For the total magnetization, the calculation gives 4.92 μB per cell. Its space group is P4/mmm (123). As for the crystal system: tetragonal. As for the total energy: -18.78 eV for the cell shown. For the formation energy, the calculation gives 1410 meV per atom.

Cell: 5.992 4.502 5.992 Å, 90.00 90.00 90.00°
Atoms (fractional coordinates):
Na: 0.000 0.000 0.500
Na: 0.500 0.000 0.000
Cr: 0.500 0.500 0.500
Co: 0.000 0.500 0.000
Y: 0.000 0.000 0.000

=====

Nb2CrCo | PBE | optimized geometry

Summary:
For the total magnetization, the calculation gives 1.57 μB per cell. The excess energy over the best structure of this formula in the dataset is 618 meV per atom. Its space group is R-3m (166). As for the crystal system: trigonal. As for the total energy: -34.51 eV for the cell shown. For the formation energy, the calculation gives 591 meV per atom.

Cell: 2.794 2.794 9.361 Å, 81.42 81.42 60.00°
Atoms (fractional coordinates):
Nb: 0.911 0.911 0.267
Nb: 0.089 0.089 0.733
Cr: 0.000 0.000 0.000
Co: 0.500 0.500 0.500

=====

Nb3CrCo | PBE | optimized geometry

Summary:
For the total magnetization, the calculation gives 0.00 μB per cell. The excess energy over the best structure of this formula in the dataset is 0 meV per atom. Its space group is Pm-3m (221). As for the crystal system: cubic. As for the total energy: -41.52 eV for the cell shown. For the formation energy, the calculation gives 1084 meV per atom.

Cell: 4.544 4.544 4.544 Å, 90.00 90.00 90.00°
Atoms (fractional coordinates):
Nb: 0.000 0.000 0.500
Nb: 0.000 0.500 0.000
Nb: 0.500 0.000 0.000
Co: 0.000 0.000 0.000
Cr: 0.500 0.500 0.500

=====

Nb2CrCo2 | PBE | optimized geometry

Summary:
For the total magnetization, the calculation gives 0.00 μB per cell. Its space group is P4/mbm (127). As for the crystal system: tetragonal. As for the total energy: -87.28 eV for the cell shown. For the formation energy, the calculation gives 67 meV per atom.

Cell: 6.139 6.139 3.755 Å, 90.00 90.00 90.00°
Atoms (fractional coordinates):
Co: 0.632 0.132 0.000
Co: 0.132 0.368 0.000
Co: 0.368 0.868 0.000
Co: 0.868 0.632 0.000
Cr: 0.000 0.000 0.000
Cr: 0.500 0.500 0.000
Nb: 0.177 0.677 0.500
Nb: 0.677 0.823 0.500
Nb: 0.323 0.177 0.500
Nb: 0.823 0.323 0.500

=====

NbCr3Co | PBE | optimized geometry

Summary:
For the total magnetization, the calculation gives 0.00 μB per cell. Its space group is Pm-3m (221). As for the crystal system: cubic. As for the total energy: -40.76 eV for the cell shown. For the formation energy, the calculation gives 1058 meV per atom.

Cell: 4.200 4.200 4.200 Å, 90.00 90.00 90.00°
Atoms (fractional coordinates):
Cr: 0.500 0.000 0.000
Cr: 0.000 0.500 0.000
Cr: 0.000 0.000 0.500
Co: 0.000 0.000 0.000
Nb: 0.500 0.500 0.500

=====

Nb2CrCo | PBE | optimized geometry

Summary:
For the total magnetization, the calculation gives 1.14 μB per cell. The excess energy over the best structure of this formula in the dataset is 14 meV per atom. Its space group is Fm-3m (225). As for the crystal system: cubic. As for the total energy: -36.92 eV for the cell shown. For the formation energy, the calculation gives -14 meV per atom.

Cell: 4.371 4.371 4.371 Å, 60.00 60.00 60.00°
Atoms (fractional coordinates):
Nb: 0.250 0.250 0.250
Nb: 0.750 0.750 0.750
Cr: 0.000 0.000 0.000
Co: 0.500 0.500 0.500

=====

NbCr2Co5 | PBE | optimized geometry

Summary:
For the total magnetization, the calculation gives 3.63 μB per cell. Its space group is Immm (71). As for the crystal system: orthorhombic. As for the total energy: -63.82 eV for the cell shown. For the formation energy, the calculation gives 128 meV per atom.

Cell: 2.555 6.280 6.280 Å, 76.91 78.26 78.26°
Atoms (fractional coordinates):
Co: 0.635 0.593 0.137
Co: 0.365 0.863 0.407
Co: 0.000 0.500 0.500
Co: 0.365 0.407 0.863
Co: 0.635 0.137 0.593
Nb: 0.000 0.000 0.000
Cr: 0.248 0.252 0.252
Cr: 0.752 0.748 0.748

=====

Nb3CrCo | PBE | optimized geometry

Summary:
For the total magnetization, the calculation gives 0.00 μB per cell. The excess energy over the best structure of this formula in the dataset is 87 meV per atom. Its space group is Pm-3m (221). As for the crystal system: cubic. As for the total energy: -41.09 eV for the cell shown. For the formation energy, the calculation gives 1171 meV per atom.

Cell: 4.539 4.539 4.539 Å, 90.00 90.00 90.00°
Atoms (fractional coordinates):
Cr: 0.000 0.000 0.000
Nb: 0.000 0.500 0.000
Nb: 0.000 0.000 0.500
Nb: 0.500 0.000 0.000
Co: 0.500 0.500 0.500

=====

Nb2CrCo | PBE | optimized geometry

Summary:
For the total magnetization, the calculation gives 0.95 μB per cell. The excess energy over the best structure of this formula in the dataset is 0 meV per atom. Its space group is P4/mmm (123). As for the crystal system: tetragonal. As for the total energy: -36.98 eV for the cell shown. For the formation energy, the calculation gives -27 meV per atom.

Cell: 3.107 3.107 6.105 Å, 90.00 90.00 90.00°
Atoms (fractional coordinates):
Nb: 0.000 0.000 0.247
Nb: 0.000 0.000 0.753
Cr: 0.500 0.500 0.000
Co: 0.500 0.500 0.500

=====

Nb2CrCo | PBE | optimized geometry

Summary:
For the total magnetization, the calculation gives 3.50 μB per cell. The excess energy over the best structure of this formula in the dataset is 546 meV per atom. Its space group is I-42d (122). As for the crystal system: tetragonal. As for the total energy: -69.59 eV for the cell shown. For the formation energy, the calculation gives 519 meV per atom.

Cell: 6.861 6.861 5.541 Å, 51.74 51.74 90.00°
Atoms (fractional coordinates):
Co: 0.750 0.250 0.500
Co: 0.000 0.000 0.000
Nb: 0.375 0.360 0.750
Nb: 0.640 0.125 0.250
Nb: 0.875 0.890 0.750
Nb: 0.110 0.625 0.250
Cr: 0.500 0.500 0.000
Cr: 0.250 0.750 0.500